No. 1
Computed, not measured: an optimized crystal structure of SrFe2Ru at the PBE level of DFT.

Values from the calculation:
Energy = -72.4 eV for the cell shown
DFT formation energy = 940 meV/atom
Size of the total moment = 16.20 μB/cell

CIF file:
```
data_SrFe2Ru
_chemical_formula_sum 'Sr3 Fe6 Ru3'
_symmetry_space_group_name_H-M 'R -3 m'
_symmetry_Int_Tables_number 166
_symmetry_space_group_name_Hall '-R 3 2"'
_cell_length_a 3.0275
_cell_length_b 3.0275
_cell_length_c 26.9562
_cell_angle_alpha 90.00
_cell_angle_beta 90.00
_cell_angle_gamma 120.00
loop_
_atom_site_label
_atom_site_fract_x
_atom_site_fract_y
_atom_site_fract_z
Sr1 0.0000 0.0000 0.0000
Fe1 0.0000 0.0000 0.2342
Ru1 0.0000 0.0000 0.5000
```

***

No. 2
Computed, not measured: an optimized crystal structure of AlCrH2Br at the PBE level of DFT.

Values from the calculation:
Energy = -17.2 eV for the cell shown
Size of the total moment = 4.00 μB/cell

CIF file:
```
data_AlCrH2Br
_chemical_formula_sum 'Al1 Cr1 H2 Br1'
_symmetry_space_group_name_H-M 'P 4/m m m'
_symmetry_Int_Tables_number 123
_symmetry_space_group_name_Hall '-P 4 2'
_cell_length_a 3.7619
_cell_length_b 3.7619
_cell_length_c 6.2499
_cell_angle_alpha 90.00
_cell_angle_beta 90.00
_cell_angle_gamma 90.00
loop_
_atom_site_label
_atom_site_fract_x
_atom_site_fract_y
_atom_site_fract_z
Al1 0.0000 0.0000 0.0000
Cr1 0.5000 0.5000 0.0000
H1 0.0000 0.5000 0.5000
Br1 0.0000 0.0000 0.5000
```